(1)
Here is an optimized crystal structure of CsTbS2 from Alexandria via LeMat-Bulk. Energies are from GGA-PBE.

Unit cell a=4.125 b=4.125 c=8.415 alpha=75.81 beta=75.81 gamma=60.00
Atoms (fractional coordinates):
Cs 0.000 0.000 0.000
S 0.227 0.227 0.318
S 0.773 0.773 0.682
Tb 0.500 0.500 0.500

## Properties
Final energy in eV per atom: -5.269
Symmetry: R-3m, No. 166
Total magnetization in Bohr magnetons per cell: 0.00
Density of states at the Fermi level in states/eV/atom: 0.000
Volume in Å³/atom: 29.74

***

(2)
Here is an optimized crystal structure of VMo2Rh5 from Alexandria via LeMat-Bulk. Energies are from GGA-PBE.

Unit cell a=3.865 b=5.451 c=10.919 alpha=90.00 beta=90.00 gamma=90.00
Atoms (fractional coordinates):
Mo 0.500 0.248 0.876
Mo 0.500 0.252 0.376
Mo 0.500 0.748 0.624
Mo 0.500 0.752 0.124
Rh 0.000 0.493 0.753
Rh 0.500 0.741 0.879
Rh 0.000 0.007 0.253
Rh 0.000 0.000 0.000
Rh 0.500 0.259 0.121
Rh 0.500 0.241 0.621
Rh 0.500 0.759 0.379
Rh 0.000 0.993 0.747
Rh 0.000 0.507 0.247
Rh 0.000 0.500 0.500
V 0.000 0.500 0.000
V 0.000 0.000 0.500

## Properties
Final energy in eV per atom: -8.666
Symmetry: Pbam, No. 55
Total magnetization in Bohr magnetons per cell: 0.00
Density of states at the Fermi level in states/eV/atom: 0.649
Volume in Å³/atom: 14.38

***

(3)
Here is an optimized crystal structure of CeMgAlGa from Alexandria via LeMat-Bulk. Energies are from GGA-PBE.

Unit cell a=4.950 b=4.950 c=4.950 alpha=60.00 beta=60.00 gamma=60.00
Atoms (fractional coordinates):
Ce 0.250 0.250 0.250
Ga 0.500 0.500 0.500
Mg 0.750 0.750 0.750
Al 0.000 0.000 0.000

## Properties
Final energy in eV per atom: -3.890
Symmetry: F-43m, No. 216
Total magnetization in Bohr magnetons per cell: 0.00
Density of states at the Fermi level in states/eV/atom: 1.106
Volume in Å³/atom: 21.44

***

(4)
Here is an optimized crystal structure of BaCaB2W from Alexandria via LeMat-Bulk. Energies are from GGA-PBE.

Unit cell a=4.476 b=4.476 c=5.385 alpha=90.00 beta=90.00 gamma=90.00
Atoms (fractional coordinates):
W 0.000 0.000 0.000
B 0.000 0.500 0.000
B 0.500 0.000 0.000
Ba 0.000 0.000 0.500
Ca 0.500 0.500 0.500

## Properties
Final energy in eV per atom: -4.872
Symmetry: P4/mmm, No. 123
Total magnetization in Bohr magnetons per cell: 0.00
Density of states at the Fermi level in states/eV/atom: 0.647
Volume in Å³/atom: 21.57

***

(5)
Here is an optimized crystal structure of Nd5ErTl2 from Alexandria via LeMat-Bulk. Energies are from GGA-PBE.

Unit cell a=5.567 b=5.567 c=20.403 alpha=90.00 beta=90.00 gamma=120.00
Atoms (fractional coordinates):
Nd 0.000 0.000 0.162
Nd 0.000 0.000 0.838
Nd 0.333 0.667 0.939
Nd 0.333 0.667 0.561
Nd 0.000 0.000 0.338
Nd 0.333 0.667 0.750
Nd 0.667 0.333 0.439
Nd 0.667 0.333 0.250
Nd 0.667 0.333 0.061
Nd 0.000 0.000 0.662
Tl 0.333 0.667 0.402
Tl 0.667 0.333 0.598
Tl 0.333 0.667 0.098
Tl 0.667 0.333 0.902
Er 0.667 0.333 0.750
Er 0.333 0.667 0.250

## Properties
Final energy in eV per atom: -4.213
Symmetry: P6_3/mmc, No. 194
Total magnetization in Bohr magnetons per cell: 0.00
Density of states at the Fermi level in states/eV/atom: 1.811
Volume in Å³/atom: 34.23

***

(6)
Here is an optimized crystal structure of CsInHO2 from Alexandria via LeMat-Bulk. Energies are from GGA-PBE.

Unit cell a=4.673 b=4.285 c=4.673 alpha=90.00 beta=90.00 gamma=90.00
Atoms (fractional coordinates):
In 0.500 0.500 0.500
Cs 0.000 0.000 0.000
O 0.500 0.000 0.000
O 0.000 0.000 0.500
H 0.000 0.500 0.000

## Properties
Final energy in eV per atom: -2.860
Symmetry: P4/mmm, No. 123
Total magnetization in Bohr magnetons per cell: 0.00
Density of states at the Fermi level in states/eV/atom: 0.333
Volume in Å³/atom: 18.72

***

(7)
Here is an optimized crystal structure of Li2YGaAu2 from Alexandria via LeMat-Bulk. Energies are from GGA-PBE.

Unit cell a=4.481 b=4.481 c=6.339 alpha=90.00 beta=90.00 gamma=120.00
Atoms (fractional coordinates):
Au 0.667 0.333 0.739
Au 0.333 0.667 0.261
Y 0.000 0.000 0.000
Ga 0.000 0.000 0.500
Li 0.333 0.667 0.674
Li 0.667 0.333 0.326

## Properties
Final energy in eV per atom: -3.901
Symmetry: P-3m1, No. 164
Total magnetization in Bohr magnetons per cell: 0.00
Density of states at the Fermi level in states/eV/atom: 0.837
Volume in Å³/atom: 18.37

***

(8)
Here is an optimized crystal structure of Li2ErTmHg4 from Alexandria via LeMat-Bulk. Energies are from GGA-PBE.

Unit cell a=4.990 b=4.990 c=8.626 alpha=73.19 beta=73.19 gamma=60.00
Atoms (fractional coordinates):
Hg 0.625 0.625 0.125
Hg 0.375 0.375 0.875
Hg 0.126 0.126 0.623
Hg 0.874 0.874 0.377
Tm 0.500 0.500 0.500
Li 0.750 0.750 0.750
Li 0.250 0.250 0.250
Er 0.000 0.000 0.000

## Properties
Final energy in eV per atom: -2.184
Symmetry: R-3m, No. 166
Total magnetization in Bohr magnetons per cell: 0.00
Density of states at the Fermi level in states/eV/atom: 0.713
Volume in Å³/atom: 21.91

***

(9)
Here is an optimized crystal structure of Tb7Os2Au2 from Alexandria via LeMat-Bulk. Energies are from GGA-PBE.

Unit cell a=6.685 b=7.038 c=6.685 alpha=90.00 beta=106.71 gamma=90.00
Atoms (fractional coordinates):
Au 0.186 0.500 0.186
Au 0.814 0.500 0.814
Tb 0.000 0.000 0.000
Tb 0.500 0.752 0.500
Tb 0.500 0.258 0.000
Tb 0.500 0.742 0.000
Tb 0.500 0.248 0.500
Tb 0.000 0.742 0.500
Tb 0.000 0.258 0.500
Os 0.292 0.000 0.708
Os 0.708 0.000 0.292

## Properties
Final energy in eV per atom: -5.898
Symmetry: Cmmm, No. 65
Total magnetization in Bohr magnetons per cell: 0.00
Density of states at the Fermi level in states/eV/atom: 0.920
Volume in Å³/atom: 27.38

***

(10)
Here is an optimized crystal structure of RbNb2B from Alexandria via LeMat-Bulk. Energies are from GGA-PBE.

Unit cell a=6.863 b=6.863 c=6.870 alpha=60.03 beta=60.03 gamma=90.00
Each line ends with the local moment (μB).
Atoms (fractional coordinates):
Nb 0.875 0.627 0.750  0.31
Nb 0.373 0.625 0.250  0.27
Nb 0.377 0.125 0.250  0.25
Nb 0.375 0.623 0.750  0.26
B 0.250 0.750 0.500  0.00
B 0.500 0.500 0.000  0.00
Rb 0.000 0.000 0.000  0.01
Rb 0.750 0.250 0.500  0.01

## Properties
Final energy in eV per atom: -5.584
Symmetry: I-42d, No. 122
Total magnetization in Bohr magnetons per cell: 1.75
Density of states at the Fermi level in states/eV/atom: 1.549
Volume in Å³/atom: 28.63

***

(11)
Here is an optimized crystal structure of Ce2HfThN4 from Alexandria via LeMat-Bulk. Energies are from GGA-PBE.

Unit cell a=3.459 b=6.108 c=6.061 alpha=108.70 beta=90.00 gamma=90.00
Atoms (fractional coordinates):
Th 0.500 0.500 0.000
Ce 0.000 0.500 0.500
Ce 0.500 0.000 0.500
N 0.000 0.226 0.767
N 0.500 0.781 0.778
N 0.500 0.219 0.222
N 0.000 0.774 0.233
Hf 0.000 0.000 0.000

## Properties
Final energy in eV per atom: -9.399
Symmetry: P2/m, No. 10
Total magnetization in Bohr magnetons per cell: 0.00
Density of states at the Fermi level in states/eV/atom: 0.692
Volume in Å³/atom: 15.16

***

(12)
Here is an optimized crystal structure of MgBi2O4 from Alexandria via LeMat-Bulk. Energies are from GGA-PBE.

Unit cell a=3.417 b=10.886 c=11.442 alpha=90.00 beta=90.00 gamma=90.00
Atoms (fractional coordinates):
Mg 0.116 0.358 0.250
Mg 0.884 0.642 0.750
Mg 0.116 0.142 0.750
Mg 0.884 0.858 0.250
O 0.600 0.255 0.750
O 0.239 0.466 0.392
O 0.772 0.250 0.000
O 0.761 0.534 0.608
O 0.761 0.534 0.892
O 0.761 0.966 0.108
O 0.761 0.966 0.392
O 0.600 0.245 0.250
O 0.228 0.750 0.000
O 0.239 0.466 0.108
O 0.239 0.034 0.608
O 0.228 0.750 0.500
O 0.772 0.250 0.500
O 0.400 0.755 0.750
O 0.239 0.034 0.892
O 0.400 0.745 0.250
Bi 0.648 0.622 0.086
Bi 0.352 0.378 0.914
Bi 0.648 0.878 0.914
Bi 0.352 0.378 0.586
Bi 0.352 0.122 0.086
Bi 0.648 0.878 0.586
Bi 0.648 0.622 0.414
Bi 0.352 0.122 0.414

## Properties
Final energy in eV per atom: -5.608
Symmetry: Pbcm, No. 57
Total magnetization in Bohr magnetons per cell: 0.00
Volume in Å³/atom: 15.20